a | Computed, not measured: a geometry-optimized FeHgIO2 structure at the PBE with a Hubbard U level of DFT.

Output
D(E_F): 2.2 states/eV per cell
V: 115.61 Å³/f.u.
Space-group type: P4/mmm

Structure (POSCAR):
```
FeHgIO2
1.0
4.2093 0.0000 0.0000
0.0000 4.2093 0.0000
0.0000 0.0000 6.5253
I Hg O Fe
1 1 2 1
Cartesian
0.0000 0.0000 3.2626 I
0.0000 0.0000 0.0000 Hg
0.0000 2.1046 0.0000 O
2.1046 0.0000 0.0000 O
2.1046 2.1046 3.2626 Fe
```

***

b | Computed, not measured: a geometry-optimized FeHgIO2 structure at the PBE with a Hubbard U level of DFT.

Output
D(E_F): 2.1 states/eV per cell
V: 98.14 Å³/f.u.
Space-group type: P4/mmm

Structure (POSCAR):
```
FeHgIO2
1.0
-3.7940 0.3567 1.2084
-0.6950 -3.7906 -1.0632
1.6142 -1.8725 5.6207
I Hg O Fe
1 1 2 1
Cartesian
0.8071 -0.9362 2.8104 I
-1.4374 -2.6532 2.8830 Hg
-0.3475 -1.8953 -0.5316 O
-1.8970 0.1783 0.6042 O
0.0000 0.0000 0.0000 Fe
```

***

Relative energies in eV/atom: a 0.727; b 0.000